Entry P
# LaHfAuCl PBE-GGA relaxed
# Mass density, g/cm³: 7.7
data_LaHfAuCl
_symmetry_space_group_name_H-M 'P 1'
_symmetry_Int_Tables_number 1
_symmetry_space_group_name_Hall 'P 1'
_cell_length_a 4.3855
_cell_length_b 4.3855
_cell_length_c 7.1250
_cell_angle_alpha 90.00
_cell_angle_beta 90.00
_cell_angle_gamma 120.00
loop_
_atom_site_label
_atom_site_type_symbol
_atom_site_fract_x
_atom_site_fract_y
_atom_site_fract_z
_atom_site_occupancy
La1 La 0.0000 0.0000 0.0000 1
Hf1 Hf 0.3333 0.6667 0.3751 1
Au1 Au 0.6667 0.3333 0.2433 1
Cl1 Cl 0.3333 0.6667 0.7359 1


Entry Q
# LaHfAuCl PBE-GGA relaxed
# Mass density, g/cm³: 9.4
data_LaHfAuCl
_symmetry_space_group_name_H-M 'P 1'
_symmetry_Int_Tables_number 1
_symmetry_space_group_name_Hall 'P 1'
_cell_length_a 3.6750
_cell_length_b 6.5958
_cell_length_c 6.5958
_cell_angle_alpha 37.60
_cell_angle_beta 90.00
_cell_angle_gamma 90.00
loop_
_atom_site_label
_atom_site_type_symbol
_atom_site_fract_x
_atom_site_fract_y
_atom_site_fract_z
_atom_site_occupancy
La1 La 0.0000 0.0000 0.0000 1
Hf1 Hf 0.5000 0.2441 0.2441 1
Au1 Au 0.0000 0.7194 0.7194 1
Cl1 Cl 0.5000 0.4492 0.4492 1


Entry R
# LaHfAuCl PBE-GGA relaxed
# Mass density, g/cm³: 7.8
data_LaHfAuCl
_symmetry_space_group_name_H-M 'P 1'
_symmetry_Int_Tables_number 1
_symmetry_space_group_name_Hall 'P 1'
_cell_length_a 4.4325
_cell_length_b 7.6998
_cell_length_c 7.6998
_cell_angle_alpha 26.57
_cell_angle_beta 90.00
_cell_angle_gamma 90.00
loop_
_atom_site_label
_atom_site_type_symbol
_atom_site_fract_x
_atom_site_fract_y
_atom_site_fract_z
_atom_site_occupancy
La1 La 0.0000 0.0000 0.0000 1
Hf1 Hf 0.0000 0.6934 0.6934 1
Au1 Au 0.5000 0.5917 0.5917 1
Cl1 Cl 0.0000 0.3262 0.3262 1


Most stable = entry Q


Entry P
# LaHfAuCl PBE-GGA relaxed
# Mass density, g/cm³: 9.5
data_LaHfAuCl
_symmetry_space_group_name_H-M 'P 1'
_symmetry_Int_Tables_number 1
_symmetry_space_group_name_Hall 'P 1'
_cell_length_a 3.5297
_cell_length_b 4.4380
_cell_length_c 6.3779
_cell_angle_alpha 90.00
_cell_angle_beta 105.99
_cell_angle_gamma 90.00
loop_
_atom_site_label
_atom_site_type_symbol
_atom_site_fract_x
_atom_site_fract_y
_atom_site_fract_z
_atom_site_occupancy
La1 La 0.0000 0.0000 0.0000 1
Hf1 Hf 0.7498 0.5000 0.5026 1
Au1 Au 0.2739 0.0000 0.5506 1
Cl1 Cl 0.5448 0.5000 0.0901 1


Entry Q
# LaHfAuCl PBE-GGA relaxed
# Mass density, g/cm³: 9.0
data_LaHfAuCl
_symmetry_space_group_name_H-M 'P 1'
_symmetry_Int_Tables_number 1
_symmetry_space_group_name_Hall 'P 1'
_cell_length_a 8.0954
_cell_length_b 8.0954
_cell_length_c 8.0954
_cell_angle_alpha 154.12
_cell_angle_beta 154.12
_cell_angle_gamma 36.92
loop_
_atom_site_label
_atom_site_type_symbol
_atom_site_fract_x
_atom_site_fract_y
_atom_site_fract_z
_atom_site_occupancy
La1 La 0.0000 0.0000 0.0000 1
Hf1 Hf 0.7811 0.7811 0.0000 1
Au1 Au 0.3490 0.3490 0.0000 1
Cl1 Cl 0.6115 0.6115 0.0000 1


Entry R
# LaHfAuCl PBE-GGA relaxed
# Mass density, g/cm³: 9.4
data_LaHfAuCl
_symmetry_space_group_name_H-M 'P 1'
_symmetry_Int_Tables_number 1
_symmetry_space_group_name_Hall 'P 1'
_cell_length_a 3.4021
_cell_length_b 3.4731
_cell_length_c 8.2490
_cell_angle_alpha 90.00
_cell_angle_beta 90.00
_cell_angle_gamma 90.00
loop_
_atom_site_label
_atom_site_type_symbol
_atom_site_fract_x
_atom_site_fract_y
_atom_site_fract_z
_atom_site_occupancy
La1 La 0.0000 0.0000 0.0000 1
Hf1 Hf 0.0000 0.0000 0.4518 1
Au1 Au 0.5000 0.5000 0.2727 1
Cl1 Cl 0.5000 0.0000 0.6987 1


Most stable = entry P


Entry P
# HfPAuCl2 PBE-GGA relaxed
# Mass density, g/cm³: 6.5
data_HfPAuCl2
_symmetry_space_group_name_H-M 'P 1'
_symmetry_Int_Tables_number 1
_symmetry_space_group_name_Hall 'P 1'
_cell_length_a 4.8373
_cell_length_b 4.8373
_cell_length_c 5.2443
_cell_angle_alpha 90.00
_cell_angle_beta 90.00
_cell_angle_gamma 90.00
loop_
_atom_site_label
_atom_site_type_symbol
_atom_site_fract_x
_atom_site_fract_y
_atom_site_fract_z
_atom_site_occupancy
Hf1 Hf 0.0000 0.0000 0.0000 1
P1 P 0.0000 0.0000 0.5000 1
Au1 Au 0.5000 0.5000 0.5000 1
Cl1 Cl 0.0000 0.5000 0.0000 1
Cl2 Cl 0.5000 0.0000 0.0000 1


Entry Q
# HfPAuCl2 PBE-GGA relaxed
# Mass density, g/cm³: 6.7
data_HfPAuCl2
_symmetry_space_group_name_H-M 'P 1'
_symmetry_Int_Tables_number 1
_symmetry_space_group_name_Hall 'P 1'
_cell_length_a 4.7799
_cell_length_b 4.7799
_cell_length_c 5.1462
_cell_angle_alpha 90.00
_cell_angle_beta 90.00
_cell_angle_gamma 90.00
loop_
_atom_site_label
_atom_site_type_symbol
_atom_site_fract_x
_atom_site_fract_y
_atom_site_fract_z
_atom_site_occupancy
Hf1 Hf 0.0000 0.0000 0.0000 1
P1 P 0.5000 0.5000 0.0000 1
Au1 Au 0.5000 0.5000 0.5000 1
Cl1 Cl 0.0000 0.5000 0.5000 1
Cl2 Cl 0.5000 0.0000 0.5000 1


Most stable = entry P